[1]
The following is a PBE calculation of a relaxed Pa3Bi crystal, from Alexandria.

extended XYZ file:
```
4
Lattice="4.669 0.000 0.000 0.000 4.669 0.000 0.000 0.000 4.669" Properties=species:S:1:pos:R:3 pbc="T T T"
Pa 0.000 0.000 2.335
Pa 0.000 2.335 0.000
Pa 2.335 0.000 0.000
Bi 2.335 2.335 2.335
```

Results
**Total energy**: -8.19 eV per atom
**Density of states at the Fermi level**: 8.7 states/eV/f.u.
**ΔE_f**: -2.353 kcal/mol of atoms
**Relative energy among the computed polymorphs**: 0.0 kJ/mol of formula units

=====

[2]
The following is a PBE calculation of a relaxed Pa2Bi crystal, from Alexandria.

extended XYZ file:
```
6
Lattice="1.581 -10.754 0.000 1.581 10.754 0.000 0.000 0.000 5.114" Properties=species:S:1:pos:R:3 pbc="T T T"
Pa 1.581 7.580 3.835
Pa 1.581 6.122 1.278
Pa 1.581 -6.122 3.835
Pa 1.581 -7.580 1.278
Bi 1.581 1.555 3.835
Bi 1.581 -1.555 1.278
```

Results
**Total energy**: -7.60 eV per atom
**Density of states at the Fermi level**: 5.8 states/eV/f.u.
**ΔE_f**: 0.447 kcal/mol of atoms
**Relative energy among the computed polymorphs**: 0.0 kJ/mol of formula units